No. 1
First-principles (GGA-PBE) data for crystalline Ce3TeAs at its relaxed geometry, as listed in Alexandria via LeMat-Bulk.

Cell: 8.972 8.972 8.805 Å, 106.68 106.68 26.90°
Element x y z (fractional)
Ce 0.012 0.012 0.232
Ce 0.171 0.171 0.563
Ce 0.175 0.175 0.093
Ce 0.825 0.825 0.907
Ce 0.829 0.829 0.437
Ce 0.988 0.988 0.768
Te 0.367 0.367 0.195
Te 0.633 0.633 0.805
As 0.351 0.351 0.686
As 0.649 0.649 0.314

Properties
Energy relative to the elements, uncorrected ... -0.94 eV/atom

No. 2
First-principles (GGA-PBE) data for crystalline Ti2NbPt5Rh at its relaxed geometry, as listed in Alexandria via LeMat-Bulk.

Cell: 7.553 7.553 7.553 Å, 121.06 121.06 88.18°
Element x y z (fractional)
Ti 0.109 0.609 0.718
Ti 0.391 0.109 0.500
Ti 0.609 0.891 0.500
Ti 0.891 0.391 0.282
Nb 0.250 0.250 0.000
Nb 0.750 0.750 0.000
Pt 0.000 0.000 0.000
Pt 0.079 0.158 0.500
Pt 0.158 0.658 0.078
Pt 0.342 0.421 0.500
Pt 0.421 0.921 0.078
Pt 0.500 0.500 0.000
Pt 0.579 0.079 0.922
Pt 0.658 0.579 0.500
Pt 0.842 0.342 0.922
Pt 0.921 0.842 0.500
Rh 0.250 0.750 0.500
Rh 0.750 0.250 0.500

Properties
Energy relative to the elements ... -2.5 eV per formula unit

No. 3
First-principles (GGA-PBE) data for crystalline ErTm4Th2 at its relaxed geometry, as listed in Alexandria via LeMat-Bulk.

Cell: 5.465 5.465 16.723 Å, 90.00 90.00 90.00°
Element x y z (fractional)
Er 0.000 0.000 0.000
Er 0.500 0.500 0.500
Tm 0.000 0.000 0.179
Tm 0.000 0.000 0.821
Tm 0.000 0.500 0.000
Tm 0.000 0.500 0.500
Tm 0.500 0.000 0.000
Tm 0.500 0.000 0.500
Tm 0.500 0.500 0.321
Tm 0.500 0.500 0.679
Th 0.000 0.000 0.385
Th 0.000 0.000 0.615
Th 0.500 0.500 0.115
Th 0.500 0.500 0.885

Properties
Energy relative to the elements ... 5.8 eV per formula unit
Polymorph energy (0 for the lowest one) ... 710 meV per atom